Record 1
{"formula": "Dy2Ho5Bi5", "functional": "GGA-PBE", "state": "optimized geometry", "final_energy_ev_per_atom": -4.86, "delta_e_f_mev_per_atom": -565, "lattice_angstrom": [[7.285, -2.211, 0.000], [7.285, 2.211, 0.000], [-4.731, 0.000, 11.768]], "species": ["Dy", "Dy", "Ho", "Ho", "Ho", "Ho", "Ho", "Bi", "Bi", "Bi", "Bi", "Bi"], "frac_coords": [[0.049, 0.049, 0.286], [0.951, 0.951, 0.714], [0.294, 0.294, 0.168], [0.337, 0.337, 0.470], [0.500, 0.500, 0.000], [0.663, 0.663, 0.530], [0.706, 0.706, 0.832], [0.000, 0.000, 0.500], [0.121, 0.121, 0.940], [0.302, 0.302, 0.717], [0.698, 0.698, 0.283], [0.879, 0.879, 0.060]]}



Record 2
{"formula": "Dy3Ho2Bi2", "functional": "GGA-PBE", "state": "optimized geometry", "final_energy_ev_per_atom": -4.84, "delta_e_f_mev_per_atom": -447, "lattice_angstrom": [[6.078, -2.156, 0.000], [6.078, 2.156, 0.000], [-2.600, 0.000, 8.154]], "species": ["Dy", "Dy", "Dy", "Ho", "Ho", "Bi", "Bi"], "frac_coords": [[0.000, 0.000, 0.000], [0.126, 0.126, 0.444], [0.874, 0.874, 0.556], [0.378, 0.378, 0.233], [0.622, 0.622, 0.767], [0.322, 0.322, 0.814], [0.678, 0.678, 0.186]]}



Record 3
{"formula": "Dy5Ho2Bi4", "functional": "GGA-PBE", "state": "optimized geometry", "final_energy_ev_per_atom": -4.54, "delta_e_f_mev_per_atom": -208, "lattice_angstrom": [[12.515, -1.746, 0.000], [12.515, 1.746, 0.000], [-0.213, 0.000, 8.124]], "species": ["Dy", "Dy", "Dy", "Dy", "Dy", "Ho", "Ho", "Bi", "Bi", "Bi", "Bi"], "frac_coords": [[0.000, 0.000, 0.000], [0.325, 0.325, 0.511], [0.361, 0.361, 0.947], [0.639, 0.639, 0.053], [0.675, 0.675, 0.489], [0.232, 0.232, 0.824], [0.768, 0.768, 0.176], [0.099, 0.099, 0.736], [0.449, 0.449, 0.688], [0.551, 0.551, 0.312], [0.901, 0.901, 0.264]]}



Record 4
{"formula": "Dy3HoBi3", "functional": "GGA-PBE", "state": "optimized geometry", "final_energy_ev_per_atom": -5.01, "de_polymorph_kj_per_mol_fu": 0, "delta_e_f_mev_per_atom": -720, "lattice_angstrom": [[9.374, 0.000, 0.000], [0.000, 9.374, 0.000], [0.000, 0.000, 9.374]], "species": ["Dy", "Dy", "Dy", "Dy", "Dy", "Dy", "Dy", "Dy", "Dy", "Dy", "Dy", "Dy", "Ho", "Ho", "Ho", "Ho", "Bi", "Bi", "Bi", "Bi", "Bi", "Bi", "Bi", "Bi", "Bi", "Bi", "Bi", "Bi"], "frac_coords": [[0.073, 0.427, 0.573], [0.177, 0.177, 0.177], [0.177, 0.823, 0.323], [0.323, 0.177, 0.823], [0.323, 0.823, 0.677], [0.427, 0.573, 0.073], [0.573, 0.073, 0.427], [0.677, 0.323, 0.823], [0.677, 0.677, 0.677], [0.823, 0.323, 0.177], [0.823, 0.677, 0.323], [0.927, 0.927, 0.927], [0.073, 0.573, 0.927], [0.427, 0.427, 0.427], [0.573, 0.927, 0.073], [0.927, 0.073, 0.573], [0.000, 0.251, 0.875], [0.000, 0.751, 0.625], [0.125, 0.500, 0.249], [0.249, 0.125, 0.500], [0.251, 0.875, 0.000], [0.375, 0.500, 0.749], [0.500, 0.249, 0.125], [0.500, 0.749, 0.375], [0.625, 0.000, 0.751], [0.749, 0.375, 0.500], [0.751, 0.625, 0.000], [0.875, 0.000, 0.251]]}



Record 5
{"formula": "Dy3Ho4Bi4", "functional": "GGA-PBE", "state": "optimized geometry", "final_energy_ev_per_atom": -4.85, "delta_e_f_mev_per_atom": -518, "lattice_angstrom": [[-2.042, 4.648, 8.820], [2.042, -4.648, 8.820], [2.042, 4.648, -8.820]], "species": ["Dy", "Dy", "Dy", "Ho", "Ho", "Ho", "Ho", "Bi", "Bi", "Bi", "Bi"], "frac_coords": [[0.000, 0.000, 0.000], [0.397, 0.897, 0.500], [0.603, 0.103, 0.500], [0.019, 0.334, 0.685], [0.351, 0.666, 0.685], [0.649, 0.334, 0.315], [0.981, 0.666, 0.315], [0.262, 0.262, 0.000], [0.296, 0.500, 0.796], [0.704, 0.500, 0.204], [0.738, 0.738, 0.000]]}



Record 6
{"formula": "DyHo4Bi5", "functional": "GGA-PBE", "state": "optimized geometry", "final_energy_ev_per_atom": -5.07, "delta_e_f_mev_per_atom": -842, "lattice_angstrom": [[-2.230, 3.152, 11.149], [2.230, -3.152, 11.149], [2.230, 3.152, -11.149]], "species": ["Dy", "Ho", "Ho", "Ho", "Ho", "Bi", "Bi", "Bi", "Bi", "Bi"], "frac_coords": [[0.000, 0.000, 0.000], [0.200, 0.200, 0.000], [0.400, 0.400, 0.000], [0.600, 0.600, 0.000], [0.800, 0.800, 0.000], [0.100, 0.600, 0.500], [0.300, 0.800, 0.500], [0.500, 0.000, 0.500], [0.700, 0.200, 0.500], [0.900, 0.400, 0.500]]}



Record 7
{"formula": "Dy3HoBi4", "functional": "GGA-PBE", "state": "optimized geometry", "final_energy_ev_per_atom": -5.09, "de_polymorph_kj_per_mol_fu": 5, "delta_e_f_mev_per_atom": -853, "lattice_angstrom": [[4.468, -6.319, 0.000], [4.468, 6.319, 0.000], [0.000, 0.000, 4.472]], "species": ["Dy", "Dy", "Dy", "Ho", "Bi", "Bi", "Bi", "Bi"], "frac_coords": [[0.000, 0.000, 0.000], [0.000, 0.500, 0.500], [0.500, 0.000, 0.500], [0.500, 0.500, 0.000], [0.250, 0.750, 0.000], [0.251, 0.251, 0.500], [0.749, 0.749, 0.500], [0.750, 0.250, 0.000]]}



Record 8
{"formula": "Dy5HoBi5", "functional": "GGA-PBE", "state": "optimized geometry", "final_energy_ev_per_atom": -4.93, "delta_e_f_mev_per_atom": -659, "lattice_angstrom": [[6.958, -3.131, 0.000], [6.958, 3.131, 0.000], [-2.806, 0.000, 8.374]], "species": ["Dy", "Dy", "Dy", "Dy", "Dy", "Ho", "Bi", "Bi", "Bi", "Bi", "Bi"], "frac_coords": [[0.000, 0.000, 0.000], [0.335, 0.335, 0.164], [0.337, 0.337, 0.673], [0.663, 0.663, 0.327], [0.665, 0.665, 0.836], [0.000, 0.000, 0.500], [0.166, 0.166, 0.835], [0.169, 0.169, 0.333], [0.500, 0.500, 0.500], [0.831, 0.831, 0.667], [0.834, 0.834, 0.165]]}